(1)
Sc4GeS2 PBE optimized geometry; spin magnetization = 0.0 μB per formula unit; energy relative to the elements, uncorrected = -1.379 eV/atom; final energy = -6.84 eV per atom; symmetry = Cmcm
1.0
3.746 0.000 0.000
-1.873 5.979 0.000
0.000 0.000 12.209
Sc Ge S
8 2 4
Direct
0.771 0.543 0.378
0.946 0.892 0.750
0.500 0.000 0.500
0.771 0.543 0.122
0.229 0.457 0.622
0.500 0.000 0.000
0.054 0.108 0.250
0.229 0.457 0.878
0.609 0.218 0.750
0.391 0.782 0.250
0.865 0.729 0.561
0.135 0.271 0.061
0.865 0.729 0.939
0.135 0.271 0.439



(2)
ScGe2S6 PBE optimized geometry; spin magnetization = 0.0 μB per formula unit; energy relative to the elements, uncorrected = -0.569 eV/atom; final energy = -5.05 eV per atom; symmetry = C2/c
1.0
-5.757 1.797 2.082
-4.316 -5.581 -4.016
-0.470 -5.156 6.252
S Ge Sc
12 4 2
Direct
0.631 0.970 0.809
0.134 0.125 0.603
0.369 0.030 0.191
0.638 0.282 0.458
0.866 0.875 0.397
0.362 0.718 0.542
0.366 0.397 0.875
0.131 0.809 0.970
0.634 0.603 0.125
0.869 0.191 0.030
0.138 0.458 0.282
0.862 0.542 0.718
0.172 0.621 0.778
0.672 0.778 0.621
0.328 0.222 0.379
0.828 0.379 0.222
0.750 0.892 0.108
0.250 0.108 0.892



(3)
ScGeS2 PBE optimized geometry; spin magnetization = 0.0 μB per formula unit; energy relative to the elements, uncorrected = -0.714 eV/atom; final energy = -5.52 eV per atom; symmetry = I-42d
1.0
6.131 0.000 0.000
0.000 6.131 0.000
3.066 3.066 5.524
S Ge Sc
4 2 2
Direct
0.875 0.849 0.750
0.151 0.625 0.250
0.599 0.125 0.250
0.375 0.401 0.750
0.000 0.000 0.000
0.750 0.250 0.500
0.250 0.750 0.500
0.500 0.500 0.000



(4)
ScGe2S4 PBE optimized geometry; spin magnetization = 0.0 μB per formula unit; energy relative to the elements, uncorrected = -0.443 eV/atom; final energy = -5.02 eV per atom; symmetry = I4/mmm
1.0
-4.915 -0.231 1.461
-1.437 -0.452 -4.907
-2.759 -6.432 -1.284
Ge S Sc
2 4 1
Direct
0.382 0.382 0.235
0.618 0.618 0.765
0.500 0.000 0.000
0.795 0.795 0.409
0.205 0.205 0.591
0.000 0.500 0.000
0.000 0.000 0.000



(5)
Sc6GeS5 PBE optimized geometry; spin magnetization = 0.0 μB per formula unit; energy relative to the elements, uncorrected = -1.715 eV/atom; final energy = -6.99 eV per atom; symmetry = C2/m
1.0
0.603 -6.419 -0.549
6.258 -1.533 -0.410
3.382 -1.218 5.358
S Sc Ge
5 6 1
Direct
0.500 0.834 0.333
0.000 0.333 0.334
0.000 0.667 0.666
0.500 0.500 0.000
0.500 0.166 0.667
0.749 0.417 0.666
0.249 0.251 0.000
0.251 0.583 0.334
0.251 0.917 0.666
0.751 0.749 0.000
0.749 0.083 0.334
0.000 0.000 0.000



(6)
Sc3GeS2 PBE optimized geometry; spin magnetization = 0.0 μB per formula unit; energy relative to the elements, uncorrected = -1.552 eV/atom; final energy = -6.86 eV per atom; symmetry = Immm
1.0
-0.974 1.944 3.069
-3.534 -3.787 1.277
6.229 -1.786 0.802
S Ge Sc
2 1 3
Direct
0.833 0.334 0.667
0.167 0.666 0.333
0.500 0.000 0.000
0.832 0.832 0.664
0.168 0.168 0.336
0.500 0.500 0.000